Density functional theory data (PBE-GGA) for an optimized crystal structure of PrNp2Tl3Se6.

a = 7.395 Å, b = 12.805 Å, c = 8.137 Å
α = 90.00°, β = 107.63°, γ = 90.00°
Space group C2/m (No. 12)
Asymmetric unit:
Pr (0.000, 0.000, 0.000) (multiplicity 2)
Np (0.000, 0.333, 0.000) (multiplicity 4)
Tl (0.000, 0.165, 0.500) (multiplicity 4)
Tl (0.000, 0.500, 0.500) (multiplicity 2)
Se (0.225, 0.500, 0.205) (multiplicity 4)
Se (0.241, 0.172, 0.208) (multiplicity 8)

Results
Crystal system: monoclinic
Calculated volume: 734.3 Å³ per cell
Energy: -5.94 eV/atom
DOS(E_F): 1.77 states/eV per atom